#P
Here is Rb3NpO9 after structural relaxation from Alexandria via LeMat-Bulk. Energies are from GGA-PBE.

Structure (CIF):
```
data_Rb3NpO9
_symmetry_space_group_name_H-M 'C 1 2/c 1'
_symmetry_Int_Tables_number 15
_symmetry_space_group_name_Hall '-C 2yc'
_cell_length_a 12.056
_cell_length_b 11.414
_cell_length_c 7.589
_cell_angle_alpha 90.00
_cell_angle_beta 90.43
_cell_angle_gamma 90.00
loop_
_atom_site_label
_atom_site_type_symbol
_atom_site_fract_x
_atom_site_fract_y
_atom_site_fract_z
_atom_site_occupancy
Rb1 Rb 0.000 0.032 0.250 1
Rb2 Rb 0.159 0.405 0.458 1
Np1 Np 0.250 0.250 0.000 1
O1 O 0.000 0.451 0.750 1
O2 O 0.018 0.202 0.542 1
O3 O 0.052 0.288 0.928 1
O4 O 0.204 0.192 0.220 1
O5 O 0.228 0.101 0.896 1
```

#Q
Here is Rb3NpO9 after structural relaxation from Alexandria via LeMat-Bulk. Energies are from GGA-PBE.

Structure (CIF):
```
data_Rb3NpO9
_symmetry_space_group_name_H-M 'C 1 2/c 1'
_symmetry_Int_Tables_number 15
_symmetry_space_group_name_Hall '-C 2yc'
_cell_length_a 11.229
_cell_length_b 11.421
_cell_length_c 7.998
_cell_angle_alpha 90.00
_cell_angle_beta 95.41
_cell_angle_gamma 90.00
loop_
_atom_site_label
_atom_site_type_symbol
_atom_site_fract_x
_atom_site_fract_y
_atom_site_fract_z
_atom_site_occupancy
Rb1 Rb 0.000 0.026 0.250 1
Rb2 Rb 0.178 0.387 0.437 1
Np1 Np 0.250 0.250 0.000 1
O1 O 0.000 0.335 0.750 1
O2 O 0.024 0.257 0.917 1
O3 O 0.064 0.179 0.555 1
O4 O 0.203 0.184 0.199 1
O5 O 0.240 0.401 0.096 1
```

Order from most stable to least stable according to the calculation: #Q, #P

#P
Here is Rb4NpO4 after structural relaxation from Alexandria via LeMat-Bulk. Energies are from GGA-PBE.

Structure (CIF):
```
data_Rb4NpO4
_symmetry_space_group_name_H-M 'I -4 2 m'
_symmetry_Int_Tables_number 121
_symmetry_space_group_name_Hall 'I -4 2'
_cell_length_a 6.972
_cell_length_b 6.972
_cell_length_c 12.115
_cell_angle_alpha 90.00
_cell_angle_beta 90.00
_cell_angle_gamma 90.00
loop_
_atom_site_label
_atom_site_type_symbol
_atom_site_fract_x
_atom_site_fract_y
_atom_site_fract_z
_atom_site_occupancy
Rb1 Rb 0.000 0.000 0.206 1
Rb2 Rb 0.000 0.500 0.000 1
Np1 Np 0.000 0.000 0.500 1
O1 O 0.171 0.171 0.602 1
```

#Q
Here is Rb4NpO4 after structural relaxation from Alexandria via LeMat-Bulk. Energies are from GGA-PBE.

Structure (CIF):
```
data_Rb4NpO4
_symmetry_space_group_name_H-M 'I -4 2 m'
_symmetry_Int_Tables_number 121
_symmetry_space_group_name_Hall 'I -4 2'
_cell_length_a 9.321
_cell_length_b 9.321
_cell_length_c 9.070
_cell_angle_alpha 90.00
_cell_angle_beta 90.00
_cell_angle_gamma 90.00
loop_
_atom_site_label
_atom_site_type_symbol
_atom_site_fract_x
_atom_site_fract_y
_atom_site_fract_z
_atom_site_occupancy
Rb1 Rb 0.225 0.225 0.360 1
Np1 Np 0.000 0.000 0.000 1
O1 O 0.140 0.140 0.092 1
```

Order from most stable to least stable according to the calculation: #P, #Q

#P
Here is Rb3Np2O7 after structural relaxation from Alexandria via LeMat-Bulk. Energies are from GGA-PBE.

Structure (CIF):
```
data_Rb3Np2O7
_symmetry_space_group_name_H-M 'C m m m'
_symmetry_Int_Tables_number 65
_symmetry_space_group_name_Hall '-C 2 2'
_cell_length_a 4.343
_cell_length_b 24.010
_cell_length_c 4.319
_cell_angle_alpha 90.00
_cell_angle_beta 90.00
_cell_angle_gamma 90.00
loop_
_atom_site_label
_atom_site_type_symbol
_atom_site_fract_x
_atom_site_fract_y
_atom_site_fract_z
_atom_site_occupancy
Rb1 Rb 0.000 0.000 0.000 1
Rb2 Rb 0.000 0.181 0.000 1
Np1 Np 0.000 0.410 0.500 1
O1 O 0.000 0.090 0.500 1
O2 O 0.000 0.329 0.500 1
O3 O 0.000 0.410 0.000 1
O4 O 0.000 0.500 0.500 1
```

#Q
Here is Rb3Np2O7 after structural relaxation from Alexandria via LeMat-Bulk. Energies are from GGA-PBE.

Structure (CIF):
```
data_Rb3Np2O7
_symmetry_space_group_name_H-M 'I 4/m m m'
_symmetry_Int_Tables_number 139
_symmetry_space_group_name_Hall '-I 4 2'
_cell_length_a 4.336
_cell_length_b 4.336
_cell_length_c 22.882
_cell_angle_alpha 90.00
_cell_angle_beta 90.00
_cell_angle_gamma 90.00
loop_
_atom_site_label
_atom_site_type_symbol
_atom_site_fract_x
_atom_site_fract_y
_atom_site_fract_z
_atom_site_occupancy
Rb1 Rb 0.000 0.000 0.000 1
Rb2 Rb 0.000 0.000 0.191 1
Np1 Np 0.000 0.000 0.406 1
O1 O 0.000 0.000 0.320 1
O2 O 0.000 0.000 0.500 1
O3 O 0.000 0.500 0.094 1
```

Order from most stable to least stable according to the calculation: #Q, #P

#P
Here is NpSeO after structural relaxation from Alexandria via LeMat-Bulk. Energies are from GGA-PBE.

Structure (CIF):
```
data_NpSeO
_symmetry_space_group_name_H-M 'F -4 3 m'
_symmetry_Int_Tables_number 216
_symmetry_space_group_name_Hall 'F -4 2 3'
_cell_length_a 6.221
_cell_length_b 6.221
_cell_length_c 6.221
_cell_angle_alpha 90.00
_cell_angle_beta 90.00
_cell_angle_gamma 90.00
loop_
_atom_site_label
_atom_site_type_symbol
_atom_site_fract_x
_atom_site_fract_y
_atom_site_fract_z
_atom_site_occupancy
Np1 Np 0.000 0.000 0.000 1
Se1 Se 0.250 0.250 0.750 1
O1 O 0.250 0.250 0.250 1
```

#Q
Here is NpSeO after structural relaxation from Alexandria via LeMat-Bulk. Energies are from GGA-PBE.

Structure (CIF):
```
data_NpSeO
_symmetry_space_group_name_H-M 'P -6 m 2'
_symmetry_Int_Tables_number 187
_symmetry_space_group_name_Hall 'P -6 2'
_cell_length_a 3.8394
_cell_length_b 3.8394
_cell_length_c 4.2507
_cell_angle_alpha 90.00
_cell_angle_beta 90.00
_cell_angle_gamma 120.00
loop_
_atom_site_label
_atom_site_type_symbol
_atom_site_fract_x
_atom_site_fract_y
_atom_site_fract_z
_atom_site_occupancy
Np1 Np 0.0000 0.0000 0.0000 1
Se1 Se 0.6667 0.3333 0.5000 1
O1 O 0.3333 0.6667 0.0000 1
```

Order from most stable to least stable according to the calculation: #Q, #P

#P
Here is NpSeO after structural relaxation from Alexandria via LeMat-Bulk. Energies are from GGA-PBE.

Structure (CIF):
```
data_NpSeO
_symmetry_space_group_name_H-M 'R -3 m'
_symmetry_Int_Tables_number 166
_symmetry_space_group_name_Hall '-R 3 2"'
_cell_length_a 3.8743
_cell_length_b 3.8743
_cell_length_c 30.3619
_cell_angle_alpha 90.00
_cell_angle_beta 90.00
_cell_angle_gamma 120.00
loop_
_atom_site_label
_atom_site_type_symbol
_atom_site_fract_x
_atom_site_fract_y
_atom_site_fract_z
_atom_site_occupancy
Np1 Np 0.0000 0.0000 0.2160 1
Se1 Se 0.0000 0.0000 0.3938 1
O1 O 0.0000 0.0000 0.1399 1
```

#Q
Here is NpSeO after structural relaxation from Alexandria via LeMat-Bulk. Energies are from GGA-PBE.

Structure (CIF):
```
data_NpSeO
_symmetry_space_group_name_H-M 'P 4/n m m'
_symmetry_Int_Tables_number 129
_cell_length_a 3.869
_cell_length_b 3.869
_cell_length_c 7.024
_cell_angle_alpha 90.00
_cell_angle_beta 90.00
_cell_angle_gamma 90.00
loop_
_symmetry_equiv_pos_as_xyz
'x,y,z'
'-x,-y,-z'
'-y+1/2,x,z'
'y+1/2,-x,-z'
'-x+1/2,-y+1/2,z'
'x+1/2,y+1/2,-z'
'y,-x+1/2,z'
'-y,x+1/2,-z'
'x+1/2,-y,-z'
'-x+1/2,y,z'
'-y,-x,-z'
'y,x,z'
'-x,y+1/2,-z'
'x,-y+1/2,z'
'y+1/2,x+1/2,-z'
'-y+1/2,-x+1/2,z'
loop_
_atom_site_label
_atom_site_type_symbol
_atom_site_fract_x
_atom_site_fract_y
_atom_site_fract_z
_atom_site_occupancy
Np1 Np 0.250 0.250 0.180 1
Se1 Se 0.250 0.250 0.630 1
O1 O 0.250 0.750 0.000 1
```

Order from most stable to least stable according to the calculation: #Q, #P

#P
Here is Np2SeO after structural relaxation from Alexandria via LeMat-Bulk. Energies are from GGA-PBE.

Structure (CIF):
```
data_Np2SeO
_symmetry_space_group_name_H-M 'P 4/m m m'
_symmetry_Int_Tables_number 123
_symmetry_space_group_name_Hall '-P 4 2'
_cell_length_a 3.289
_cell_length_b 3.289
_cell_length_c 6.752
_cell_angle_alpha 90.00
_cell_angle_beta 90.00
_cell_angle_gamma 90.00
loop_
_atom_site_label
_atom_site_type_symbol
_atom_site_fract_x
_atom_site_fract_y
_atom_site_fract_z
_atom_site_occupancy
Np1 Np 0.000 0.000 0.221 1
Se1 Se 0.500 0.500 0.500 1
O1 O 0.500 0.500 0.000 1
```

#Q
Here is Np2SeO after structural relaxation from Alexandria via LeMat-Bulk. Energies are from GGA-PBE.

Structure (CIF):
```
data_Np2SeO
_symmetry_space_group_name_H-M 'R -3 m'
_symmetry_Int_Tables_number 166
_symmetry_space_group_name_Hall '-R 3 2"'
_cell_length_a 3.7059
_cell_length_b 3.7059
_cell_length_c 19.0616
_cell_angle_alpha 90.00
_cell_angle_beta 90.00
_cell_angle_gamma 120.00
loop_
_atom_site_label
_atom_site_type_symbol
_atom_site_fract_x
_atom_site_fract_y
_atom_site_fract_z
_atom_site_occupancy
Np1 Np 0.0000 0.0000 0.2327 1
Se1 Se 0.0000 0.0000 0.0000 1
O1 O 0.0000 0.0000 0.5000 1
```

Order from most stable to least stable according to the calculation: #Q, #P

#P
Here is SrNp2O8 after structural relaxation from Alexandria via LeMat-Bulk. Energies are from GGA-PBE.

Structure (CIF):
```
data_SrNp2O8
_symmetry_space_group_name_H-M 'P 4/m m m'
_symmetry_Int_Tables_number 123
_symmetry_space_group_name_Hall '-P 4 2'
_cell_length_a 5.089
_cell_length_b 5.089
_cell_length_c 6.022
_cell_angle_alpha 90.00
_cell_angle_beta 90.00
_cell_angle_gamma 90.00
loop_
_atom_site_label
_atom_site_type_symbol
_atom_site_fract_x
_atom_site_fract_y
_atom_site_fract_z
_atom_site_occupancy
Sr1 Sr 0.000 0.000 0.000 1
Np1 Np 0.000 0.500 0.500 1
O1 O 0.250 0.250 0.303 1
```

#Q
Here is SrNp2O8 after structural relaxation from Alexandria via LeMat-Bulk. Energies are from GGA-PBE.

Structure (CIF):
```
data_SrNp2O8
_symmetry_space_group_name_H-M 'I m m m'
_symmetry_Int_Tables_number 71
_symmetry_space_group_name_Hall '-I 2 2'
_cell_length_a 4.215
_cell_length_b 8.806
_cell_length_c 9.154
_cell_angle_alpha 90.00
_cell_angle_beta 90.00
_cell_angle_gamma 90.00
loop_
_atom_site_label
_atom_site_type_symbol
_atom_site_fract_x
_atom_site_fract_y
_atom_site_fract_z
_atom_site_occupancy
Sr1 Sr 0.000 0.000 0.000 1
Np1 Np 0.000 0.500 0.184 1
O1 O 0.000 0.000 0.297 1
O2 O 0.000 0.355 0.338 1
O3 O 0.000 0.358 0.000 1
```

Order from most stable to least stable according to the calculation: #Q, #P

#P
Here is Sr2NpO5 after structural relaxation from Alexandria via LeMat-Bulk. Energies are from GGA-PBE.

Structure (CIF):
```
data_Sr2NpO5
_symmetry_space_group_name_H-M 'C 1 2/c 1'
_symmetry_Int_Tables_number 15
_symmetry_space_group_name_Hall '-C 2yc'
_cell_length_a 11.881
_cell_length_b 5.732
_cell_length_c 8.215
_cell_angle_alpha 90.00
_cell_angle_beta 109.88
_cell_angle_gamma 90.00
loop_
_atom_site_label
_atom_site_type_symbol
_atom_site_fract_x
_atom_site_fract_y
_atom_site_fract_z
_atom_site_occupancy
Sr1 Sr 0.170 0.036 0.333 1
Np1 Np 0.000 0.500 0.000 1
O1 O 0.000 0.359 0.250 1
O2 O 0.130 0.271 0.027 1
O3 O 0.136 0.259 0.601 1
```

#Q
Here is Sr2NpO5 after structural relaxation from Alexandria via LeMat-Bulk. Energies are from GGA-PBE.

Structure (CIF):
```
data_Sr2NpO5
_symmetry_space_group_name_H-M 'C m c m'
_symmetry_Int_Tables_number 63
_symmetry_space_group_name_Hall '-C 2c 2'
_cell_length_a 4.427
_cell_length_b 12.131
_cell_length_c 11.297
_cell_angle_alpha 90.00
_cell_angle_beta 90.00
_cell_angle_gamma 90.00
loop_
_atom_site_label
_atom_site_type_symbol
_atom_site_fract_x
_atom_site_fract_y
_atom_site_fract_z
_atom_site_occupancy
Sr1 Sr 0.000 0.144 0.074 1
Np1 Np 0.000 0.168 0.750 1
O1 O 0.000 0.053 0.625 1
O2 O 0.000 0.279 0.612 1
O3 O 0.000 0.298 0.250 1
```

Order from most stable to least stable according to the calculation: #P, #Q